VASP calculation (PBE) on a relaxed structure of MnCdAu5.

Summary:
The value obtained for the total magnetization is 4.0 μB per formula unit. As for the formation energy: 0.0173 eV per atom. The calculation puts the final energy at -0.2767 Ry/atom. The crystal system is tetragonal.

POSCAR file:
```
MnCdAu5
1.0
4.371 0.000 0.000
0.000 4.371 0.000
0.000 0.000 7.008
Mn Cd Au
1 1 5
Direct
0.000 0.000 0.000 Mn
0.000 0.000 0.500 Cd
0.000 0.500 0.216 Au
0.000 0.500 0.784 Au
0.500 0.000 0.216 Au
0.500 0.000 0.784 Au
0.500 0.500 0.500 Au
```